Record 1
Here is a PBEsol-optimized structure of LaMn2Fe from Alexandria via LeMat-Bulk. Energies are from SCAN.

Unit cell a=3.9362 b=3.9362 c=4.2028 alpha=90.00 beta=90.00 gamma=90.00
Last column: nearest neighbours and their distance in Å.
Sites, in units of the cell vectors:
La 0.0000 0.0000 0.0000  4 Fe 2.78, 8 Mn 2.88
Mn 0.0000 0.5000 0.5000  4 Mn 2.78, 4 Fe 2.88, 4 La 2.88
Mn 0.5000 0.0000 0.5000  4 Mn 2.78, 4 Fe 2.88, 4 La 2.88
Fe 0.5000 0.5000 0.0000  4 La 2.78, 8 Mn 2.88

Summary:
DOS(E_F)   0.538 states/eV per atom
Energy of formation   0.328 eV/atom


Record 2
Here is a PBEsol-optimized structure of LaSe2S from Alexandria via LeMat-Bulk. Energies are from SCAN.

Unit cell a=12.1224 b=12.1224 c=12.1224 alpha=160.93 beta=160.93 gamma=27.10
Last column: nearest neighbours and their distance in Å.
Sites, in units of the cell vectors:
La 0.0000 0.0000 0.0000  4 S 2.84
La 0.7500 0.2500 0.5000  4 S 2.84
Se 0.1095 0.6250 0.9845  4 Se 2.75-2.93
Se 0.3750 0.3595 0.4845  4 Se 2.75-2.93
Se 0.6405 0.1250 0.0155  4 Se 2.75-2.93
Se 0.8750 0.8905 0.5155  4 Se 2.75-2.93
S 0.2500 0.7500 0.5000  4 La 2.84
S 0.5000 0.5000 0.0000  4 La 2.84

Summary:
DOS(E_F)   0.390 states/eV per atom
ΔE_f (raw)   -1.2354 eV per atom


Record 3
Here is a PBEsol-optimized structure of ClF5 from Alexandria via LeMat-Bulk. Energies are from SCAN.

Unit cell a=4.8358 b=4.8358 c=7.5615 alpha=90.00 beta=90.00 gamma=98.11
Last column: nearest neighbours and their distance in Å.
Sites, in units of the cell vectors:
Cl 0.1759 0.8241 0.5000  5 F 1.61-1.72
Cl 0.8241 0.1759 0.0000  5 F 1.61-1.72
F 0.0215 0.9785 0.6722  1 Cl 1.72
F 0.0821 0.4526 0.0081  1 Cl 1.70
F 0.3331 0.6669 0.6498  1 Cl 1.61
F 0.3457 0.6543 0.3489  1 Cl 1.69
F 0.4526 0.0821 0.5081  1 Cl 1.70
F 0.5474 0.9179 0.0081  1 Cl 1.70
F 0.6543 0.3457 0.8489  1 Cl 1.69
F 0.6669 0.3331 0.1498  1 Cl 1.61
F 0.9179 0.5474 0.5081  1 Cl 1.70
F 0.9785 0.0215 0.1722  1 Cl 1.72

Summary:
DOS(E_F)   0.000 states/eV per atom
ΔE_f (raw)   -0.5883 eV per atom


Record 4
Here is a PBEsol-optimized structure of Cd2SbBr2 from Alexandria via LeMat-Bulk. Energies are from SCAN.

Unit cell a=6.8702 b=6.8702 c=6.8702 alpha=140.22 beta=140.22 gamma=57.53
Last column: nearest neighbours and their distance in Å.
Sites, in units of the cell vectors:
Cd 0.1115 0.1115 0.0000  1 Cd 2.69, 4 Br 2.87
Cd 0.8885 0.8885 0.0000  1 Cd 2.69, 4 Br 2.87
Sb 0.5000 0.5000 0.0000  8 Cd 3.57, 8 Br 3.81
Br 0.2500 0.7500 0.5000  4 Cd 2.87
Br 0.7500 0.2500 0.5000  4 Cd 2.87

Summary:
DOS(E_F)   0.700 states/eV per atom
ΔE_f (raw)   -0.0164 eV per atom


Record 5
Here is a PBEsol-optimized structure of Y2Be2FeSi2O10 from Alexandria via LeMat-Bulk. Energies are from SCAN.

Unit cell a=4.7370 b=7.4735 c=9.8935 alpha=90.00 beta=90.76 gamma=90.00
Last column: nearest neighbours and their distance in Å.
Sites, in units of the cell vectors:
Y 0.0014 0.1094 0.1716  7 O 2.30-2.47
Y 0.0014 0.3906 0.6716  7 O 2.30-2.47
Y 0.9986 0.6094 0.3284  7 O 2.30-2.47
Y 0.9986 0.8906 0.8284  7 O 2.30-2.47
Be 0.4635 0.5844 0.8353  4 O 1.60-1.64
Be 0.4635 0.9156 0.3353  4 O 1.60-1.64
Be 0.5365 0.0844 0.6647  4 O 1.60-1.64
Be 0.5365 0.4156 0.1647  4 O 1.60-1.64
Fe 0.0000 0.0000 0.5000  4 O 1.98-2.22
Fe 0.0000 0.5000 0.0000  4 O 1.98-2.22
Si 0.4833 0.2170 0.9227  4 O 1.62-1.65
Si 0.4833 0.2830 0.4227  4 O 1.62-1.65
Si 0.5167 0.7170 0.5773  4 O 1.62-1.65
Si 0.5167 0.7830 0.0773  4 O 1.62-1.65
O 0.1994 0.0854 0.6655  1 Be 1.60
O 0.1994 0.4146 0.1655  1 Be 1.60
O 0.2391 0.0805 0.9716  1 Si 1.62
O 0.2391 0.4195 0.4716  1 Si 1.62
O 0.3032 0.6501 0.6960  1 Si 1.64, 1 Be 1.64
O 0.3032 0.8499 0.1960  1 Si 1.64, 1 Be 1.64
O 0.3127 0.1097 0.3573  1 Be 1.63, 1 Si 1.65
O 0.3127 0.3903 0.8573  1 Be 1.63, 1 Si 1.65
O 0.3212 0.7124 0.9496  1 Be 1.63, 1 Si 1.64
O 0.3212 0.7876 0.4496  1 Be 1.63, 1 Si 1.64
O 0.6788 0.2124 0.5504  1 Be 1.63, 1 Si 1.64
O 0.6788 0.2876 0.0504  1 Be 1.63, 1 Si 1.64
O 0.6873 0.6097 0.1427  1 Be 1.63, 1 Si 1.65
O 0.6873 0.8903 0.6427  1 Be 1.63, 1 Si 1.65
O 0.6968 0.1501 0.8040  1 Si 1.64, 1 Be 1.64
O 0.6968 0.3499 0.3040  1 Si 1.64, 1 Be 1.64
O 0.7609 0.5805 0.5284  1 Si 1.62
O 0.7609 0.9195 0.0284  1 Si 1.62
O 0.8006 0.5854 0.8345  1 Be 1.60
O 0.8006 0.9146 0.3345  1 Be 1.60

Summary:
ΔE_f (raw)   -3.1952 eV per atom


Record 6
Here is a PBEsol-optimized structure of Li2OsW from Alexandria via LeMat-Bulk. Energies are from SCAN.

Unit cell a=3.5504 b=3.5504 c=4.5362 alpha=90.00 beta=90.00 gamma=90.00
Last column: nearest neighbours and their distance in Å.
Sites, in units of the cell vectors:
Li 0.0000 0.5000 0.0000  4 Li 2.51
Li 0.5000 0.0000 0.0000  4 Li 2.51
Os 0.0000 0.0000 0.5000  4 W 2.51
W 0.5000 0.5000 0.5000  4 Os 2.51

Summary:
DOS(E_F)   0.427 states/eV per atom
Energy of formation   0.305 eV/atom


Record 7
Here is a PBEsol-optimized structure of Sr3MoCl from Alexandria via LeMat-Bulk. Energies are from SCAN.

Unit cell a=5.6539 b=5.6539 c=5.6539 alpha=90.00 beta=90.00 gamma=90.00
Last column: nearest neighbours and their distance in Å.
Sites, in units of the cell vectors:
Sr 0.0000 0.0000 0.5000  2 Mo 2.83
Sr 0.0000 0.5000 0.0000  2 Mo 2.83
Sr 0.5000 0.0000 0.0000  2 Mo 2.83
Mo 0.0000 0.0000 0.0000  6 Sr 2.83
Cl 0.5000 0.5000 0.5000  12 Sr 4.00

Summary:
DOS(E_F)   1.006 states/eV per atom
ΔE_f (raw)   0.3995 eV per atom


Record 8
Here is a PBEsol-optimized structure of SiBiTe2 from Alexandria via LeMat-Bulk. Energies are from SCAN.

Unit cell a=9.5408 b=9.5408 c=9.5408 alpha=23.09 beta=23.09 gamma=23.09
Last column: nearest neighbours and their distance in Å.
Sites, in units of the cell vectors:
Si 0.0000 0.0000 0.0000  6 Te 2.71
Bi 0.5000 0.5000 0.5000  2 Te 3.06
Te 0.3902 0.3902 0.3902  3 Si 2.71
Te 0.6098 0.6098 0.6098  3 Si 2.71

Summary:
DOS(E_F)   0.344 states/eV per atom
ΔE_f (raw)   0.1921 eV per atom